A geometry-optimized SmNpMn2 structure, computed with PBE.

Computed properties:
As for the space group: R-3m, No. 166. As for the formation energy: 430 meV/atom. For the raw total energy, the calculation gives -8.569 eV per atom.

Unit cell a=8.3268 b=8.3268 c=8.3268 alpha=22.35 beta=22.35 gamma=22.35
Positions (direct):
1 Sm 0.0000 0.0000 0.0000
2 Np 0.5000 0.5000 0.5000
3 Mn 0.2323 0.2323 0.2323
4 Mn 0.7677 0.7677 0.7677

A geometry-optimized Pm2NdRh2 structure, computed with PBE.

Computed properties:
As for the energy above the most stable polymorph in this dataset: 28.0 meV/atom. As for the space group: Cmc2_1, No. 36. As for the formation energy: -493 meV/atom. For the raw total energy, the calculation gives -6.287 eV per atom.

Unit cell a=8.9510 b=8.9510 c=7.5903 alpha=90.00 beta=90.00 gamma=154.41
Positions (direct):
1 Pm 0.0312 0.9688 0.5000
2 Pm 0.1880 0.8120 0.7756
3 Pm 0.8120 0.1880 0.2756
4 Pm 0.9688 0.0312 0.0000
5 Nd 0.3763 0.6237 0.6657
6 Nd 0.6237 0.3763 0.1657
7 Rh 0.1946 0.8054 0.3827
8 Rh 0.4488 0.5512 0.3009
9 Rh 0.5512 0.4488 0.8009
10 Rh 0.8054 0.1946 0.8827

A geometry-optimized Rb3AlAu structure, computed with PBE.

Computed properties:
As for the energy above the most stable polymorph in this dataset: 0.0 meV/atom. As for the space group: Pm-3m, No. 221. As for the formation energy: 256 meV/atom. For the raw total energy, the calculation gives -1.728 eV per atom.

Unit cell a=6.5534 b=6.5534 c=6.5534 alpha=90.00 beta=90.00 gamma=90.00
Positions (direct):
1 Rb 0.0000 0.0000 0.5000
2 Rb 0.0000 0.5000 0.0000
3 Rb 0.5000 0.0000 0.0000
4 Al 0.5000 0.5000 0.5000
5 Au 0.0000 0.0000 0.0000

A geometry-optimized VZn2Pt3 structure, computed with PBE.

Computed properties:
As for the space group: P4/mmm, No. 123. As for the formation energy: -575 meV/atom. For the raw total energy, the calculation gives -5.539 eV per atom.

Unit cell a=2.8216 b=2.8216 c=10.9610 alpha=90.00 beta=90.00 gamma=90.00
Positions (direct):
1 V 0.0000 0.0000 0.0000
2 Zn 0.0000 0.0000 0.3360
3 Zn 0.0000 0.0000 0.6640
4 Pt 0.5000 0.5000 0.1637
5 Pt 0.5000 0.5000 0.5000
6 Pt 0.5000 0.5000 0.8363

A geometry-optimized Cu3SeS structure, computed with PBE.

Computed properties:
As for the energy above the most stable polymorph in this dataset: 12.2 meV/atom. As for the space group: Ama2, No. 40. For the raw total energy, the calculation gives -4.082 eV per atom. The value obtained for the formation energy without anion corrections is -0.10 eV per atom.

Unit cell a=3.9426 b=9.9477 c=9.9477 alpha=147.16 beta=90.00 gamma=90.00
Positions (direct):
1 Cu 0.2500 0.0374 0.9626
2 Cu 0.2500 0.1806 0.4835
3 Cu 0.2500 0.5741 0.9559
4 Cu 0.7500 0.4835 0.1806
5 Cu 0.7500 0.9559 0.5741
6 Cu 0.7500 0.9626 0.0374
7 Se 0.2500 0.7077 0.2997
8 Se 0.7500 0.2997 0.7077
9 S 0.2500 0.9074 0.0887
10 S 0.7500 0.0887 0.9074

A geometry-optimized NbBSe3 structure, computed with PBE.

Computed properties:
As for the energy above the most stable polymorph in this dataset: 107.3 meV/atom. As for the space group: Pm-3m, No. 221. For the raw total energy, the calculation gives -4.684 eV per atom. The value obtained for the formation energy without anion corrections is 0.76 eV per atom.

Unit cell a=5.0489 b=5.0489 c=5.0489 alpha=90.00 beta=90.00 gamma=90.00
Positions (direct):
1 Nb 0.0000 0.0000 0.0000
2 B 0.5000 0.5000 0.5000
3 Se 0.0000 0.0000 0.5000
4 Se 0.0000 0.5000 0.0000
5 Se 0.5000 0.0000 0.0000

A geometry-optimized TaSbH2W structure, computed with PBE.

Computed properties:
As for the space group: P4/mmm, No. 123. For the raw total energy, the calculation gives -6.295 eV per atom.

Unit cell a=3.8359 b=3.8359 c=5.2249 alpha=90.00 beta=90.00 gamma=90.00
Positions (direct):
1 Ta 0.0000 0.0000 0.0000
2 Sb 0.5000 0.5000 0.0000
3 H 0.0000 0.5000 0.5000
4 H 0.5000 0.0000 0.5000
5 W 0.0000 0.0000 0.5000

A geometry-optimized La4SmHo15 structure, computed with PBE.

Computed properties:
As for the space group: P4/mmm, No. 123. As for the formation energy: 31 meV/atom. For the raw total energy, the calculation gives -4.624 eV per atom.

Unit cell a=5.0728 b=5.0728 c=25.1702 alpha=90.00 beta=90.00 gamma=90.00
Positions (direct):
1 La 0.0000 0.0000 0.1003
2 La 0.0000 0.0000 0.3000
3 La 0.0000 0.0000 0.7000
4 La 0.0000 0.0000 0.8997
5 Sm 0.0000 0.0000 0.5000
6 Ho 0.0000 0.5000 0.0000
7 Ho 0.0000 0.5000 0.2006
8 Ho 0.0000 0.5000 0.4016
9 Ho 0.0000 0.5000 0.5984
10 Ho 0.0000 0.5000 0.7994
11 Ho 0.5000 0.0000 0.0000
12 Ho 0.5000 0.0000 0.2006
13 Ho 0.5000 0.0000 0.4016
14 Ho 0.5000 0.0000 0.5984
15 Ho 0.5000 0.0000 0.7994
16 Ho 0.5000 0.5000 0.1002
17 Ho 0.5000 0.5000 0.3011
18 Ho 0.5000 0.5000 0.5000
19 Ho 0.5000 0.5000 0.6989
20 Ho 0.5000 0.5000 0.8998

A geometry-optimized CsAlSn2 structure, computed with PBE.

Computed properties:
As for the space group: P4/mmm, No. 123. As for the formation energy: -60 meV/atom. For the raw total energy, the calculation gives -3.210 eV per atom.

Unit cell a=3.8317 b=3.8317 c=8.5607 alpha=90.00 beta=90.00 gamma=90.00
Positions (direct):
1 Cs 0.0000 0.0000 0.0000
2 Al 0.0000 0.0000 0.5000
3 Sn 0.5000 0.5000 0.3301
4 Sn 0.5000 0.5000 0.6699

A geometry-optimized TbPr4Tm5 structure, computed with PBE.

Computed properties:
As for the energy above the most stable polymorph in this dataset: 0.0 meV/atom. As for the space group: P4/mmm, No. 123. As for the formation energy: 23 meV/atom. For the raw total energy, the calculation gives -4.587 eV per atom.

Unit cell a=3.6072 b=3.6072 c=25.0263 alpha=90.00 beta=90.00 gamma=90.00
Positions (direct):
1 Tb 0.0000 0.0000 0.0000
2 Pr 0.0000 0.0000 0.1982
3 Pr 0.0000 0.0000 0.3994
4 Pr 0.0000 0.0000 0.6006
5 Pr 0.0000 0.0000 0.8018
6 Tm 0.5000 0.5000 0.0968
7 Tm 0.5000 0.5000 0.2985
8 Tm 0.5000 0.5000 0.5000
9 Tm 0.5000 0.5000 0.7015
10 Tm 0.5000 0.5000 0.9032

A geometry-optimized Os2AuSe structure, computed with PBE.

Computed properties:
As for the space group: R3m, No. 160. For the raw total energy, the calculation gives -6.859 eV per atom. The value obtained for the formation energy without anion corrections is 0.45 eV per atom.

Unit cell a=9.6357 b=9.6357 c=9.6357 alpha=17.05 beta=17.05 gamma=17.05
Positions (direct):
1 Os 0.0000 0.0000 0.0000
2 Os 0.2614 0.2614 0.2614
3 Au 0.5090 0.5090 0.5090
4 Se 0.7393 0.7393 0.7393

A geometry-optimized Nd6As2RhSe3 structure, computed with PBE.

Computed properties:
As for the space group: C2/m, No. 12. For the raw total energy, the calculation gives -6.184 eV per atom. The value obtained for the formation energy without anion corrections is -1.54 eV per atom.

Unit cell a=9.4985 b=9.4985 c=8.5748 alpha=103.26 beta=103.26 gamma=25.63
Positions (direct):
1 Nd 0.0011 0.0011 0.2378
2 Nd 0.3309 0.3309 0.4217
3 Nd 0.3396 0.3396 0.9134
4 Nd 0.6604 0.6604 0.0866
5 Nd 0.6691 0.6691 0.5783
6 Nd 0.9989 0.9989 0.7622
7 As 0.1661 0.1661 0.3344
8 As 0.8339 0.8339 0.6656
9 Rh 0.5000 0.5000 0.0000
10 Se 0.1697 0.1697 0.8333
11 Se 0.5000 0.5000 0.5000
12 Se 0.8303 0.8303 0.1667

- What is the formula in the tenth record?
  TbPr4Tm5